(1)
Entry from Alexandria via LeMat-Bulk: a geometry-optimized Y6Te5Pb structure (GGA-PBE).

Lattice parameters (Å, degrees): 7.582 7.582 7.616 99.52 99.52 119.92
Sites, in units of the cell vectors:
Y 0.081 0.410 0.746
Y 0.245 0.245 0.251
Y 0.410 0.081 0.746
Y 0.590 0.919 0.254
Y 0.755 0.755 0.749
Y 0.919 0.590 0.254
Te 0.169 0.831 0.000
Te 0.334 0.666 0.500
Te 0.500 0.500 0.000
Te 0.666 0.334 0.500
Te 0.831 0.169 0.000
Pb 0.000 0.000 0.500

(2)
Entry from Alexandria via LeMat-Bulk: a geometry-optimized YTePb structure (GGA-PBE).

Lattice parameters (Å, degrees): 5.214 5.214 5.214 60.00 60.00 60.00
Sites, in units of the cell vectors:
Y 0.000 0.000 0.000
Te 0.250 0.250 0.250
Pb 0.500 0.500 0.500

(3)
Entry from Alexandria via LeMat-Bulk: a geometry-optimized Y2TePb structure (GGA-PBE).

Lattice parameters (Å, degrees): 3.714 3.703 8.152 90.00 90.08 90.00
Sites, in units of the cell vectors:
Y 0.000 0.000 0.238
Y 0.000 0.000 0.762
Te 0.500 0.500 0.000
Pb 0.500 0.500 0.500

Values for formation energy from raw total energies, eV per atom, ordered as above
-1.219; -0.328; -0.794
Values for magnetization, μB per formula unit, ordered as above
0.00; 0.00; 0.69
Values for calculated density, g/cm3, ordered as above
6.39; 7.02; 7.59